# 1
VASP calculation (PBE) on a geometry-optimized K2TbPtO4 structure.

abc: 3.3423 6.0020 6.6991
angles: 110.90 90.00 90.00
Closest atoms and distances in Å follow each position.
Fractional positions:
1 O 0.0000 0.7023 0.2178  2 Tb 2.27
2 O 0.5000 0.7979 0.8365  2 Pt 2.13
3 O 0.5000 0.2021 0.1635  2 Pt 2.13
4 O 0.0000 0.2977 0.7822  2 Tb 2.27
5 Tb 0.5000 0.5000 0.0000  6 O 2.27-2.41
6 Pt 0.0000 0.0000 0.0000  4 O 2.13
7 K 0.5000 0.0000 0.5000  6 O 2.67-2.92
8 K 0.0000 0.5000 0.5000  6 O 2.59-2.86

Formation energy from raw total energies = -1691 meV per atom
SG = P2/m

=====

# 2
VASP calculation (PBE) on a geometry-optimized CdIr structure.

abc: 5.5917 5.5917 6.9122
angles: 74.73 74.73 29.73
Closest atoms and distances in Å follow each position.
Fractional positions:
1 Cd 0.6311 0.6311 0.2655  5 Cd 2.85-3.00, 7 Ir 2.88-3.13
2 Cd 0.9879 0.9879 0.0130  6 Ir 2.81-3.07, 6 Cd 2.87-3.00
3 Cd 0.6553 0.6553 0.6664  5 Cd 2.85-2.95, 7 Ir 2.89-2.94
4 Ir 0.9293 0.9293 0.6165  6 Ir 2.66-2.87, 4 Cd 2.89-2.98
5 Ir 0.3471 0.3471 0.3516  4 Ir 2.66-2.87, 7 Cd 2.81-2.96
6 Ir 0.2826 0.2826 0.9205  4 Ir 2.68-2.87, 6 Cd 2.86-2.89

Energy of formation = 18.0 kJ/mol of atoms
SG = Cm

=====

# 3
VASP calculation (PBE) on a geometry-optimized SbPtPb2 structure.

abc: 4.3820 5.5105 6.5527
angles: 49.93 90.00 90.00
Closest atoms and distances in Å follow each position.
Fractional positions:
1 Pb 0.0000 0.3665 0.4581  2 Pt 2.86, 1 Pb 3.16
2 Pb 0.0000 0.1335 0.0419  2 Pt 2.86, 1 Pb 3.16
3 Pt 0.5000 0.2500 0.2500  2 Sb 2.59, 4 Pb 2.86
4 Sb 0.5000 0.7500 0.7500  2 Pt 2.59

Formation energy from raw total energies = -20 meV per atom
SG = P2/m

=====

# 4
VASP calculation (PBE) on a geometry-optimized CoBSb2 structure.

abc: 5.6622 5.6622 6.4860
angles: 64.12 64.12 90.00
Closest atoms and distances in Å follow each position.
Fractional positions:
1 B 0.5000 0.5000 0.0000  4 Sb 2.29
2 B 0.2500 0.7500 0.5000  4 Sb 2.29
3 Co 0.7500 0.2500 0.5000  4 Sb 2.46
4 Co 0.0000 0.0000 0.0000  4 Sb 2.46
5 Sb 0.1511 0.6250 0.2500  2 B 2.29, 2 Co 2.46
6 Sb 0.5989 0.1250 0.2500  2 B 2.29, 2 Co 2.46
7 Sb 0.3750 0.4011 0.7500  2 B 2.29, 2 Co 2.46
8 Sb 0.8750 0.8489 0.7500  2 B 2.29, 2 Co 2.46

Formation energy from raw total energies = 482 meV per atom
SG = I-42d

=====

Asked for total magnetization across the records above, the calculation gives 1.01 0.00 0.00 0.00 μB per cell in order.
Asked for DFT total energy across the records above, the calculation gives -5.78 -4.70 -4.42 -5.03 eV/atom in order.